VASP calculation (PBE+U) on a geometry-optimized Cs2CrFeF6 structure. Values from VASP.

## Properties
For the calculated density, the calculation gives 4.860 g/cm³. Its energy above the lowest structure with this stoichiometry is 0 meV per atom.

The structure in Quantum ESPRESSO input format:
```
&SYSTEM
  ibrav = 0, nat = 10, ntyp = 4
/
ATOMIC_SPECIES
Cs 132.91 Cs.upf
Cr 52.00 Cr.upf
Fe 55.84 Fe.upf
F 19.00 F.upf
CELL_PARAMETERS angstrom
-3.106 3.106 4.316
3.106 -3.106 4.316
3.106 3.106 -4.316
ATOMIC_POSITIONS crystal
Cs 0.250 0.750 0.500
Cs 0.750 0.250 0.500
Cr 0.000 0.000 0.000
Fe 0.500 0.500 0.000
F 0.236 0.236 0.000
F 0.261 0.261 0.522
F 0.261 0.739 0.000
F 0.739 0.261 0.000
F 0.739 0.739 0.478
F 0.764 0.764 0.000
```